The following is a DFT calculation (PBE) of an optimized crystal structure of NdSm2Al7Cu2.

For the total energy, the calculation gives -4.480 eV/atom.

The space group is R-3m (No. 166, hexagonal axes) and the conventional cell measures 5.5713, 5.5713 and 25.7983 Å, with angles of 90.00, 90.00 and 120.00 degrees. The asymmetric unit holds Nd at (0.0000, 0.0000, 0.0000), Sm at (0.0000, 0.0000, 0.1417), Al at (0.0000, 0.0000, 0.5000), Al at (0.0060, 0.5030, 0.9223) and Cu at (0.0000, 0.0000, 0.3354).